[1]
## Sm4GeTe3 (PBE)

Data for crystalline Sm4GeTe3 at its relaxed geometry.

Computed properties:
DOS(E_F) (states/eV per cell): 3.57
ρ (g cm⁻³): 7.23
Formation energy from raw total energies (eV per atom): -1.3427

Lattice parameters (Å, degrees): 4.3734 7.6640 7.6640 109.07 90.00 90.00
Atoms (fractional coordinates):
Sm 0.0000 0.2262 0.2262
Sm 0.5000 0.2349 0.7651
Te 0.0000 0.5000 0.0000
Ge 0.5000 0.0000 0.0000
Sm 0.0000 0.7738 0.7738
Te 0.0000 0.0000 0.5000
Sm 0.5000 0.7651 0.2349
Te 0.5000 0.5000 0.5000

=====

[2]
## SrInGeCl2 (PBE)

Data for crystalline SrInGeCl2 at its relaxed geometry.

Computed properties:
DOS(E_F) (states/eV per cell): 4.05
ρ (g cm⁻³): 1.81
Formation energy from raw total energies (eV per atom): -0.5447

Lattice parameters (Å, degrees): 5.3482 11.0676 5.3482 90.00 90.00 90.00
Atoms (fractional coordinates):
Cl 0.5000 0.0000 0.0000
Ge 0.5000 0.5000 0.5000
Cl 0.0000 0.0000 0.5000
Sr 0.0000 0.0000 0.0000
In 0.0000 0.5000 0.0000

=====

[3]
## Pm3Tl5O12 (PBE)

Data for crystalline Pm3Tl5O12 at its relaxed geometry.

Computed properties:
DOS(E_F) (states/eV per cell): 6.55
ρ (g cm⁻³): 8.65
Formation energy from raw total energies (eV per atom): -1.6494

Lattice parameters (Å, degrees): 11.8032 11.8032 11.8032 109.47 109.47 109.47
Atoms (fractional coordinates):
O 0.4163 0.2803 0.3285
O 0.9163 0.8285 0.7803
O 0.9518 0.5878 0.1715
O 0.1715 0.0837 0.7197
O 0.4122 0.0482 0.3285
O 0.0482 0.6361 0.7197
O 0.9122 0.8285 0.5482
Tl 0.5000 0.0000 0.0000
O 0.4518 0.6715 0.0878
O 0.3285 0.5482 0.4122
O 0.1715 0.0878 0.9518
Tl 0.6250 0.8750 0.2500
Tl 0.3750 0.1250 0.7500
O 0.3639 0.9518 0.7803
O 0.8639 0.5837 0.9122
O 0.7803 0.4518 0.3639
O 0.0878 0.9163 0.1361
O 0.0837 0.9122 0.3639
O 0.4122 0.3639 0.5837
Tl 0.2500 0.8750 0.1250
Tl 0.7500 0.1250 0.8750
O 0.5482 0.3285 0.9122
O 0.7197 0.5837 0.1715
O 0.5837 0.8639 0.4122
O 0.2197 0.6715 0.0837
Tl 0.8750 0.6250 0.7500
O 0.5878 0.9518 0.6715
Tl 0.2500 0.3750 0.6250
Pm 0.7500 0.8750 0.6250
Tl 0.0000 0.5000 0.5000
Tl 0.1250 0.3750 0.2500
O 0.2803 0.8639 0.9518
Tl 0.5000 0.0000 0.5000
Tl 0.6250 0.7500 0.8750
O 0.6715 0.4518 0.5878
O 0.6361 0.5878 0.9163
Pm 0.7500 0.3750 0.1250
Pm 0.6250 0.3750 0.7500
O 0.5878 0.6361 0.4163
O 0.6361 0.0482 0.2197
Tl 0.5000 0.5000 0.0000
O 0.4163 0.1361 0.5878
Tl 0.0000 0.0000 0.5000
Pm 0.8750 0.7500 0.1250
Pm 0.3750 0.7500 0.6250
O 0.6715 0.2197 0.5837
O 0.1361 0.4163 0.0878
Pm 0.6250 0.2500 0.3750
O 0.3285 0.7803 0.4163
O 0.9122 0.0837 0.8639
O 0.8639 0.2803 0.4518
Pm 0.2500 0.6250 0.8750
Pm 0.8750 0.1250 0.2500
O 0.0482 0.4122 0.8285
O 0.8285 0.9163 0.2803
Pm 0.1250 0.8750 0.7500
O 0.3639 0.4122 0.0837
Tl 0.8750 0.2500 0.6250
Pm 0.1250 0.2500 0.8750
O 0.2197 0.5482 0.6361
Tl 0.1250 0.7500 0.3750
O 0.2803 0.4163 0.8285
Pm 0.3750 0.6250 0.2500
Tl 0.0000 0.0000 0.0000
Tl 0.0000 0.5000 0.0000
O 0.5482 0.2197 0.1361
Tl 0.7500 0.6250 0.3750
O 0.7197 0.1361 0.0482
O 0.0837 0.1715 0.2197
Pm 0.2500 0.1250 0.3750
O 0.4518 0.7803 0.8639
O 0.9163 0.0878 0.6361
O 0.0878 0.1715 0.4518
O 0.1361 0.7197 0.5482
O 0.9518 0.3639 0.2803
Tl 0.3750 0.2500 0.1250
O 0.8285 0.9122 0.0482
O 0.7803 0.3285 0.9163
O 0.5837 0.7197 0.6715
Tl 0.5000 0.5000 0.5000

=====

[4]
## Nd6Dy2ErTm3 (PBE)

Data for crystalline Nd6Dy2ErTm3 at its relaxed geometry.

Computed properties:
ΔH_f (0 K) (eV per atom): 0.014
DOS(E_F) (states/eV per cell): 12.59
ρ (g cm⁻³): 7.90

Lattice parameters (Å, degrees): 6.2463 6.2463 11.7785 95.06 95.06 119.99
Atoms (fractional coordinates):
Nd 0.5829 0.9161 0.7488
Nd 0.4171 0.0839 0.2512
Nd 0.7508 0.7508 0.2514
Dy 0.6667 0.3333 0.0000
Tm 0.1666 0.8334 0.5000
Er 0.0000 0.0000 0.0000
Tm 0.8334 0.1666 0.5000
Nd 0.9161 0.5829 0.7488
Tm 0.5000 0.5000 0.5000
Dy 0.3333 0.6667 0.0000
Nd 0.2492 0.2492 0.7486
Nd 0.0839 0.4171 0.2512

=====

[5]
## GaCu3Pd (PBE)

Data for crystalline GaCu3Pd at its relaxed geometry.

Computed properties:
Offset from the most stable computed form (eV/f.u.): 3.40
ΔH_f (0 K) (eV per atom): 0.617
DOS(E_F) (states/eV per cell): 1.22
ρ (g cm⁻³): 7.11

Lattice parameters (Å, degrees): 4.4081 4.4081 4.4081 90.00 90.00 90.00
Atoms (fractional coordinates):
Cu 0.0000 0.5000 0.0000
Cu 0.5000 0.0000 0.0000
Cu 0.0000 0.0000 0.5000
Pd 0.5000 0.5000 0.5000
Ga 0.0000 0.0000 0.0000

=====

[6]
## Lu2BiN (PBE)

Data for crystalline Lu2BiN at its relaxed geometry.

Computed properties:
DOS(E_F) (states/eV per cell): 2.52
ρ (g cm⁻³): 10.55
Formation energy from raw total energies (eV per atom): -0.8332

Lattice parameters (Å, degrees): 3.4495 3.4495 8.9772 78.92 78.92 60.00
Atoms (fractional coordinates):
Lu 0.8815 0.8815 0.3555
N 0.5000 0.5000 0.5000
Lu 0.1185 0.1185 0.6445
Bi 0.0000 0.0000 0.0000

=====

Among the records above, which one has the highest DOS(E_F)?
Nd6Dy2ErTm3

=====

Copy entry 5 word for word.
## GaCu3Pd (PBE)

Data for crystalline GaCu3Pd at its relaxed geometry.

Computed properties:
Offset from the most stable computed form (eV/f.u.): 3.40
ΔH_f (0 K) (eV per atom): 0.617
DOS(E_F) (states/eV per cell): 1.22
ρ (g cm⁻³): 7.11

Lattice parameters (Å, degrees): 4.4081 4.4081 4.4081 90.00 90.00 90.00
Atoms (fractional coordinates):
Cu 0.0000 0.5000 0.0000
Cu 0.5000 0.0000 0.0000
Cu 0.0000 0.0000 0.5000
Pd 0.5000 0.5000 0.5000
Ga 0.0000 0.0000 0.0000

=====

The lowest DOS(E_F) belongs to which entry?
GaCu3Pd

=====

Which of these has the lowest ρ?
SrInGeCl2